1.
DyBr: relaxed, GGA-PBE.

It has space group F-43m (No. 216), with a = 6.477 Å, b = 6.477 Å, c = 6.477 Å, α = 90.00°, β = 90.00° and γ = 90.00°. Symmetry generates all atoms from Dy at (0.000, 0.000, 0.000) and Br at (0.250, 0.250, 0.250).

Its uncorrected energy is -3.610 eV/atom.

---

2.
DyBr: relaxed, GGA-PBE.

It has space group Fm-3m (No. 225), with a = 5.831 Å, b = 5.831 Å, c = 5.831 Å, α = 90.00°, β = 90.00° and γ = 90.00°. Symmetry generates all atoms from Dy at (0.000, 0.000, 0.000) and Br at (0.000, 0.000, 0.500).

Its uncorrected energy is -3.823 eV/atom.

---

3.
DyErGa2Br2: relaxed, GGA-PBE.

It has space group P3m1 (No. 156), with a = 4.1085 Å, b = 4.1085 Å, c = 11.2190 Å, α = 90.00°, β = 90.00° and γ = 120.00°. Symmetry generates all atoms from Dy at (0.0000, 0.0000, 0.0000), Er at (0.0000, 0.0000, 0.3633), Ga at (0.3333, 0.6667, 0.2142), Ga at (0.6667, 0.3333, 0.1512), Br at (0.3333, 0.6667, 0.8427) and Br at (0.6667, 0.3333, 0.5186).

Its uncorrected energy is -4.292 eV/atom.

---

4.
DyErBr2N: relaxed, GGA-PBE.

It has space group P3m1 (No. 156), with a = 3.6336 Å, b = 3.6336 Å, c = 10.3723 Å, α = 90.00°, β = 90.00° and γ = 120.00°. Symmetry generates all atoms from Dy at (0.0000, 0.0000, 0.0000), Er at (0.6667, 0.3333, 0.7537), Br at (0.0000, 0.0000, 0.5678), Br at (0.6667, 0.3333, 0.1884) and N at (0.3333, 0.6667, 0.8731).

Its uncorrected energy is -5.897 eV/atom.

---

5.
DyErBr2O: relaxed, GGA-PBE.

It has space group P3m1 (No. 156), with a = 3.6396 Å, b = 3.6396 Å, c = 10.1094 Å, α = 90.00°, β = 90.00° and γ = 120.00°. Symmetry generates all atoms from Dy at (0.0000, 0.0000, 0.0000), Er at (0.6667, 0.3333, 0.7568), Br at (0.0000, 0.0000, 0.5679), Br at (0.6667, 0.3333, 0.1934) and O at (0.3333, 0.6667, 0.8682).

Its uncorrected energy is -5.565 eV/atom.

---

6.
Dy2Er2SiBr5: relaxed, GGA-PBE.

It has space group C2/m (No. 12), with a = 18.043 Å, b = 4.017 Å, c = 8.281 Å, α = 90.00°, β = 102.51° and γ = 90.00°. Symmetry generates all atoms from Dy at (0.151, 0.000, 0.079), Er at (0.000, 0.500, 0.220), Si at (0.000, 0.000, 0.000), Br at (0.000, 0.000, 0.500), Br at (0.165, 0.500, 0.333) and Br at (0.172, 0.500, 0.835).

Its uncorrected energy is -4.644 eV/atom.